Record 1
CdReOs: optimized geometry, PBE.

Lattice parameters (Å, degrees): 2.8190 2.8190 7.1346 90.00 90.00 120.00
Space group P3m1 (No. 156)
Inequivalent atoms, fractional coordinates:
Cd 0.0000 0.0000 0.0000 (multiplicity 1)
Re 0.3333 0.6667 0.6402 (multiplicity 1)
Os 0.6667 0.3333 0.3560 (multiplicity 1)

Properties
E	-23.74	eV/cell
energy relative to the elements	0.285	eV per atom
crystal system	trigonal

Record 2
CdReOs3: optimized geometry, PBE.

Lattice parameters (Å, degrees): 4.661 4.661 4.661 90.00 90.00 90.00
Space group Pm-3m (No. 221)
Inequivalent atoms, fractional coordinates:
Cd 0.000 0.000 0.000 (multiplicity 1)
Re 0.500 0.500 0.500 (multiplicity 1)
Os 0.000 0.000 0.500 (multiplicity 3)

Properties
E	-29.47	eV/cell
energy relative to the elements	3.516	eV per atom
crystal system	cubic

Record 3
CdRe2Os: optimized geometry, PBE.

Lattice parameters (Å, degrees): 2.768 2.768 8.350 90.00 90.00 90.00
Space group P4/mmm (No. 123)
Inequivalent atoms, fractional coordinates:
Cd 0.000 0.000 0.000 (multiplicity 1)
Re 0.500 0.500 0.274 (multiplicity 2)
Os 0.000 0.000 0.500 (multiplicity 1)

Properties
E	-35.50	eV/cell
energy relative to the elements	0.385	eV per atom
crystal system	tetragonal